{
  "formula": "Pm4Dy2HoEr",
  "functional": "PBE",
  "state": "optimized geometry",
  "lattice": [[-0.078, -5.049, -0.737], [1.786, 0.660, -4.713], [11.211, 0.008, -1.239]],
  "species": ["Er", "Dy", "Pm", "Pm", "Ho", "Pm", "Dy", "Pm"],
  "fractional_positions": [[0.000, 0.500, 0.500], [0.500, 0.000, 0.500], [0.000, 0.751, 0.750], [0.500, 0.250, 0.750], [0.500, 0.500, 0.000], [0.500, 0.750, 0.250], [0.000, 0.000, 0.000], [0.000, 0.249, 0.250]],
  "delta_e_f_ev_per_atom": 0.0163,
  "crystal_system": "orthorhombic"
}


{
  "formula": "SrSeBr2",
  "functional": "PBE",
  "state": "optimized geometry",
  "lattice": [[4.663, 0.000, 0.000], [0.000, 4.900, 0.040], [0.000, 4.476, 5.926]],
  "species": ["Br", "Br", "Se", "Sr"],
  "fractional_positions": [[0.500, 0.218, 0.209], [0.000, 0.919, 0.972], [0.000, 0.490, 0.614], [0.500, 0.874, 0.705]],
  "e_form_raw_ev_per_atom": -1.203,
  "crystal_system": "monoclinic"
}


{
  "formula": "MgCd3P",
  "functional": "PBE",
  "state": "optimized geometry",
  "lattice": [[-2.983, -2.683, -3.509], [4.353, -2.503, -1.787], [-0.748, -3.866, 3.592]],
  "species": ["Cd", "Cd", "P", "Cd", "Mg"],
  "fractional_positions": [[0.500, 0.000, 0.000], [0.000, 0.000, 0.500], [0.500, 0.500, 0.500], [0.000, 0.500, 0.000], [0.000, 0.000, 0.000]],
  "delta_e_f_ev_per_atom": 0.8164,
  "crystal_system": "cubic"
}


{
  "formula": "Ba2LaAs2",
  "functional": "PBE",
  "state": "optimized geometry",
  "lattice": [[8.606, 0.000, 0.000], [0.000, 8.606, 0.000], [0.000, 0.000, 4.609]],
  "species": ["As", "As", "Ba", "As", "La", "Ba", "La", "As", "Ba", "Ba"],
  "fractional_positions": [[0.171, 0.329, 0.000], [0.671, 0.171, 0.000], [0.861, 0.361, 0.500], [0.829, 0.671, 0.000], [0.000, 0.000, 0.000], [0.639, 0.861, 0.500], [0.500, 0.500, 0.000], [0.329, 0.829, 0.000], [0.139, 0.639, 0.500], [0.361, 0.139, 0.500]],
  "delta_e_f_ev_per_atom": -1.0386,
  "crystal_system": "tetragonal"
}


{
  "formula": "ZrSi2Br",
  "functional": "PBE",
  "state": "optimized geometry",
  "lattice": [[4.776, 0.000, 0.000], [2.388, 4.136, 0.000], [2.388, 1.379, 3.900]],
  "species": ["Si", "Zr", "Br", "Si"],
  "fractional_positions": [[0.000, 0.000, 0.000], [0.250, 0.250, 0.250], [0.500, 0.500, 0.500], [0.750, 0.750, 0.750]],
  "e_form_raw_ev_per_atom": 0.326,
  "crystal_system": "cubic"
}


{
  "formula": "TlTcMo2",
  "functional": "PBE",
  "state": "optimized geometry",
  "lattice": [[5.046, -0.005, 0.001], [4.083, 2.966, 0.001], [1.332, 0.432, 4.604]],
  "species": ["Tc", "Tl", "Mo", "Mo"],
  "fractional_positions": [[0.482, 0.482, 0.537], [0.248, 0.248, 0.253], [0.019, 0.019, 0.961], [0.751, 0.751, 0.749]],
  "delta_e_f_ev_per_atom": 0.5264,
  "crystal_system": "monoclinic"
}


{
  "formula": "La2YTl",
  "functional": "PBE",
  "state": "optimized geometry",
  "lattice": [[11.773, 0.015, 0.009], [11.196, 3.641, 0.009], [11.196, 1.782, 3.176]],
  "species": ["La", "Y", "La", "Tl"],
  "fractional_positions": [[0.998, 0.998, 0.998], [0.750, 0.750, 0.750], [0.502, 0.502, 0.502], [0.250, 0.250, 0.250]],
  "delta_e_f_ev_per_atom": -0.0825,
  "crystal_system": "trigonal"
}


{
  "formula": "Bi2AuSe2",
  "functional": "PBE",
  "state": "optimized geometry",
  "lattice": [[8.240, 0.000, 0.000], [0.000, 8.240, 0.000], [0.000, 0.000, 3.801]],
  "species": ["Se", "Bi", "Au", "Bi", "Se", "Au", "Se", "Bi", "Bi", "Se"],
  "fractional_positions": [[0.142, 0.358, 0.000], [0.831, 0.331, 0.500], [0.000, 0.000, 0.000], [0.169, 0.669, 0.500], [0.858, 0.642, 0.000], [0.500, 0.500, 0.000], [0.358, 0.858, 0.000], [0.331, 0.169, 0.500], [0.669, 0.831, 0.500], [0.642, 0.142, 0.000]],
  "e_form_raw_ev_per_atom": 0.132,
  "crystal_system": "tetragonal"
}


{
  "formula": "NbFeAsH2",
  "functional": "PBE",
  "state": "optimized geometry",
  "lattice": [[3.570, 0.000, 0.000], [0.000, 5.203, 0.000], [0.000, 0.000, 3.570]],
  "species": ["H", "As", "Nb", "H", "Fe"],
  "fractional_positions": [[0.500, 0.000, 0.000], [0.500, 0.500, 0.500], [0.000, 0.500, 0.000], [0.000, 0.000, 0.500], [0.000, 0.000, 0.000]],
  "energy_ev_per_atom": -5.54,
  "crystal_system": "tetragonal"
}


{
  "formula": "TlCr2Cu",
  "functional": "PBE",
  "state": "optimized geometry",
  "lattice": [[-2.256, -2.076, 3.311], [2.093, -3.043, 2.593], [0.927, 0.964, 4.310]],
  "species": ["Cu", "Tl", "Cr", "Cr"],
  "fractional_positions": [[0.500, 0.500, 0.500], [0.250, 0.250, 0.250], [0.000, 0.000, 0.000], [0.750, 0.750, 0.750]],
  "delta_e_f_ev_per_atom": 0.5063,
  "crystal_system": "cubic"
}


{
  "formula": "K2Cu3Cl8",
  "functional": "PBE",
  "state": "optimized geometry",
  "lattice": [[-2.646, -0.940, -3.789], [3.502, -2.594, -1.802], [-5.282, -11.708, 6.591]],
  "species": ["K", "Cl", "Cl", "Cu", "Cl", "Cu", "K", "Cl", "Cl", "Cu", "Cl", "Cl", "Cl"],
  "fractional_positions": [[0.000, 0.000, 0.186], [0.500, 0.500, 0.833], [0.500, 0.000, 0.351], [0.500, 0.500, 0.339], [0.500, 0.000, 0.000], [0.500, 0.500, 0.661], [0.000, 0.000, 0.814], [0.000, 0.500, 0.351], [0.000, 0.500, 0.000], [0.500, 0.500, 0.000], [0.500, 0.500, 0.167], [0.000, 0.500, 0.649], [0.500, 0.000, 0.649]],
  "e_form_raw_ev_per_atom": -0.896,
  "crystal_system": "tetragonal"
}


{
  "formula": "Pd2S4I3",
  "functional": "PBE",
  "state": "optimized geometry",
  "lattice": [[-3.548, -1.671, -0.220], [-1.906, -14.298, -12.979], [-3.967, -10.793, 3.045]],
  "species": ["S", "I", "I", "I", "Pd", "S", "S", "Pd", "S", "I", "I", "S", "Pd", "I", "Pd", "S", "S", "S"],
  "fractional_positions": [[0.396, 0.216, 0.457], [0.527, 0.733, 0.946], [0.892, 0.969, 0.836], [0.718, 0.641, 0.430], [0.842, 0.329, 0.296], [0.841, 0.111, 0.456], [0.159, 0.889, 0.544], [0.380, 0.851, 0.711], [0.639, 0.582, 0.830], [0.108, 0.031, 0.164], [0.473, 0.267, 0.054], [0.104, 0.529, 0.168], [0.158, 0.671, 0.704], [0.282, 0.359, 0.570], [0.620, 0.149, 0.289], [0.896, 0.471, 0.832], [0.361, 0.418, 0.170], [0.604, 0.784, 0.543]],
  "e_form_raw_ev_per_atom": -0.027,
  "crystal_system": "triclinic"
}


The records above yield M_tot values of 0.000, 0.000, 0.278, 0.000, 0.000, 0.000, 0.000, 0.000, 0.419, 0.043, 0.000, 0.000 μB per atom, respectively.